Record 1
Compound: Pm4In2Hg
Source: Alexandria via LeMat-Bulk
Functional: PBE
Structure: optimized geometry

a b c (Å): 9.2052 9.2052 9.2052
angles (deg): 34.04 34.04 34.04
Closest atoms and distances in Å follow each position.
Sites, in units of the cell vectors:
Pm (0.1202, 0.1202, 0.1202)  4 In 3.25-3.34, 3 Hg 3.34
Pm (0.3722, 0.3722, 0.3722)  4 In 3.21-3.33, 1 Hg 3.32
Pm (0.6278, 0.6278, 0.6278)  4 In 3.21-3.33, 1 Hg 3.32
Pm (0.8798, 0.8798, 0.8798)  4 In 3.25-3.34, 3 Hg 3.34
In (0.2487, 0.2487, 0.2487)  8 Pm 3.21-3.34
In (0.7513, 0.7513, 0.7513)  8 Pm 3.21-3.34
Hg (0.5000, 0.5000, 0.5000)  8 Pm 3.32-3.34

The calculation puts the energy relative to the elements at -0.33 eV per atom. The value obtained for the energy above the most stable polymorph in this dataset is 0.0 meV per atom. The uncorrected energy is -27.09 eV per cell.

=====

Record 2
Compound: SrGa9Cu2
Source: Alexandria via LeMat-Bulk
Functional: PBE
Structure: optimized geometry

a b c (Å): 8.5716 8.5716 8.5716
angles (deg): 100.89 100.89 128.47
Closest atoms and distances in Å follow each position.
Sites, in units of the cell vectors:
Sr (0.3750, 0.6250, 0.7500)  18 Ga 3.42-3.73
Sr (0.6250, 0.3750, 0.2500)  18 Ga 3.42-3.73
Ga (0.1250, 0.8750, 0.2500)  4 Cu 2.88, 8 Ga 2.93
Ga (0.1287, 0.5575, 0.3257)  2 Cu 2.63-2.79, 6 Ga 2.68-2.93
Ga (0.1287, 0.8030, 0.5712)  2 Cu 2.63-2.79, 6 Ga 2.68-2.93
Ga (0.1970, 0.2682, 0.3257)  2 Cu 2.63-2.79, 6 Ga 2.68-2.93
Ga (0.1970, 0.8713, 0.9288)  2 Cu 2.63-2.79, 6 Ga 2.68-2.93
Ga (0.2682, 0.1970, 0.8257)  2 Cu 2.63-2.79, 6 Ga 2.68-2.93
Ga (0.2682, 0.4425, 0.0712)  2 Cu 2.63-2.79, 6 Ga 2.68-2.93
Ga (0.4425, 0.2682, 0.5712)  2 Cu 2.63-2.79, 6 Ga 2.68-2.93
Ga (0.4425, 0.8713, 0.1743)  2 Cu 2.63-2.79, 6 Ga 2.68-2.93
Ga (0.5575, 0.1287, 0.8257)  2 Cu 2.63-2.79, 6 Ga 2.68-2.93
Ga (0.5575, 0.7318, 0.4288)  2 Cu 2.63-2.79, 6 Ga 2.68-2.93
Ga (0.7318, 0.5575, 0.9288)  2 Cu 2.63-2.79, 6 Ga 2.68-2.93
Ga (0.7318, 0.8030, 0.1743)  2 Cu 2.63-2.79, 6 Ga 2.68-2.93
Ga (0.8030, 0.1287, 0.0712)  2 Cu 2.63-2.79, 6 Ga 2.68-2.93
Ga (0.8030, 0.7318, 0.6743)  2 Cu 2.63-2.79, 6 Ga 2.68-2.93
Ga (0.8713, 0.1970, 0.4288)  2 Cu 2.63-2.79, 6 Ga 2.68-2.93
Ga (0.8713, 0.4425, 0.6743)  2 Cu 2.63-2.79, 6 Ga 2.68-2.93
Ga (0.8750, 0.1250, 0.7500)  4 Cu 2.88, 8 Ga 2.93
Cu (0.0000, 0.0000, 0.0000)  10 Ga 2.63-2.88
Cu (0.0000, 0.0000, 0.5000)  10 Ga 2.63-2.88
Cu (0.0000, 0.5000, 0.0000)  10 Ga 2.63-2.88
Cu (0.5000, 0.0000, 0.5000)  10 Ga 2.63-2.88

The calculation puts the energy relative to the elements at -0.16 eV per atom. The uncorrected energy is -77.96 eV per cell.

=====

Record 3
Compound: La2YPb
Source: Alexandria via LeMat-Bulk
Functional: PBE
Structure: optimized geometry

a b c (Å): 6.1737 6.1737 3.6272
angles (deg): 90.00 90.00 111.52
Closest atoms and distances in Å follow each position.
Sites, in units of the cell vectors:
La (0.0000, 0.5000, 0.0000)  4 La 3.47-3.63, 4 Pb 3.58, 4 Y 3.58
La (0.5000, 0.0000, 0.0000)  4 La 3.47-3.63, 4 Pb 3.58, 4 Y 3.58
Y (0.0000, 0.0000, 0.5000)  2 Pb 3.47, 8 La 3.58, 2 Y 3.63
Pb (0.5000, 0.5000, 0.5000)  2 Y 3.47, 8 La 3.58, 2 Pb 3.63

The calculation puts the energy relative to the elements at -0.27 eV per atom. The uncorrected energy is -21.10 eV per cell.

=====

Record 4
Compound: CdHg2Ge
Source: Alexandria via LeMat-Bulk
Functional: PBE
Structure: optimized geometry

a b c (Å): 7.4756 7.4756 7.4756
angles (deg): 31.42 31.42 31.42
Closest atoms and distances in Å follow each position.
Sites, in units of the cell vectors:
Cd (0.0000, 0.0000, 0.0000)  6 Hg 2.96-2.99
Hg (0.4186, 0.4186, 0.4186)  3 Ge 2.89, 3 Cd 2.96
Hg (0.5792, 0.5792, 0.5792)  3 Ge 2.91, 3 Cd 2.99
Ge (0.8314, 0.8314, 0.8314)  6 Hg 2.89-2.91

The calculation puts the energy relative to the elements at 0.22 eV per atom. The value obtained for the energy above the most stable polymorph in this dataset is 63.7 meV per atom. The uncorrected energy is -5.26 eV per cell.

=====

Record 5
Compound: TbMg9Ag3
Source: Alexandria via LeMat-Bulk
Functional: PBE
Structure: optimized geometry

a b c (Å): 7.6029 7.6029 7.5982
angles (deg): 97.68 97.68 136.72
Closest atoms and distances in Å follow each position.
Sites, in units of the cell vectors:
Tb (0.0000, 0.0000, 0.0000)  14 Mg 3.46-3.80, 6 Ag 3.80-3.82
Mg (0.0000, 0.0000, 0.5000)  2 Ag 2.80, 8 Mg 2.95-3.08
Mg (0.0043, 0.6515, 0.6609)  3 Ag 2.95-3.08, 5 Mg 3.06-3.19
Mg (0.2950, 0.5103, 0.7916)  3 Ag 2.85-2.90, 6 Mg 2.95-3.19
Mg (0.3485, 0.9957, 0.3391)  3 Ag 2.95-3.08, 5 Mg 3.06-3.19
Mg (0.4897, 0.7050, 0.2084)  3 Ag 2.85-2.90, 6 Mg 2.95-3.19
Mg (0.5103, 0.2950, 0.7916)  3 Ag 2.85-2.90, 6 Mg 2.95-3.19
Mg (0.6515, 0.0043, 0.6609)  3 Ag 2.95-3.08, 5 Mg 3.06-3.19
Mg (0.7050, 0.4897, 0.2084)  3 Ag 2.85-2.90, 6 Mg 2.95-3.19
Mg (0.9957, 0.3485, 0.3391)  3 Ag 2.95-3.08, 5 Mg 3.06-3.19
Ag (0.0000, 0.5000, 0.0000)  2 Ag 2.80, 8 Mg 2.85-2.98
Ag (0.5000, 0.0000, 0.0000)  2 Ag 2.80, 8 Mg 2.85-2.98
Ag (0.5000, 0.5000, 0.5000)  10 Mg 2.80-3.08

The calculation puts the energy relative to the elements at -0.15 eV per atom. The uncorrected energy is -29.46 eV per cell.

=====

Record 6
Compound: Sm3Ho5O12
Source: Alexandria via LeMat-Bulk
Functional: PBE
Structure: optimized geometry

a b c (Å): 11.7254 11.7254 11.7254
angles (deg): 109.47 109.47 109.47
Closest atoms and distances in Å follow each position.
Sites, in units of the cell vectors:
Sm (0.1250, 0.2500, 0.3750)  8 O 2.55
Sm (0.1250, 0.3750, 0.7500)  8 O 2.55
Sm (0.2500, 0.3750, 0.1250)  8 O 2.55
Sm (0.2500, 0.8750, 0.6250)  8 O 2.55
Sm (0.3750, 0.1250, 0.2500)  8 O 2.55
Sm (0.3750, 0.7500, 0.1250)  8 O 2.55
Sm (0.6250, 0.2500, 0.8750)  8 O 2.55
Sm (0.6250, 0.8750, 0.7500)  8 O 2.55
Sm (0.7500, 0.1250, 0.3750)  8 O 2.55
Sm (0.7500, 0.6250, 0.8750)  8 O 2.55
Sm (0.8750, 0.6250, 0.2500)  8 O 2.55
Sm (0.8750, 0.7500, 0.6250)  8 O 2.55
Ho (0.0000, 0.0000, 0.0000)  6 O 2.27
Ho (0.0000, 0.0000, 0.5000)  6 O 2.27
Ho (0.0000, 0.5000, 0.0000)  6 O 2.27
Ho (0.0000, 0.5000, 0.5000)  6 O 2.27
Ho (0.1250, 0.7500, 0.8750)  4 O 2.11
Ho (0.1250, 0.8750, 0.2500)  4 O 2.11
Ho (0.2500, 0.1250, 0.8750)  4 O 2.11
Ho (0.2500, 0.6250, 0.3750)  4 O 2.11
Ho (0.3750, 0.2500, 0.6250)  4 O 2.11
Ho (0.3750, 0.6250, 0.7500)  4 O 2.11
Ho (0.5000, 0.0000, 0.0000)  6 O 2.27
Ho (0.5000, 0.0000, 0.5000)  6 O 2.27
Ho (0.5000, 0.5000, 0.0000)  6 O 2.27
Ho (0.5000, 0.5000, 0.5000)  6 O 2.27
Ho (0.6250, 0.3750, 0.2500)  4 O 2.11
Ho (0.6250, 0.7500, 0.3750)  4 O 2.11
Ho (0.7500, 0.3750, 0.6250)  4 O 2.11
Ho (0.7500, 0.8750, 0.1250)  4 O 2.11
Ho (0.8750, 0.1250, 0.7500)  4 O 2.11
Ho (0.8750, 0.2500, 0.1250)  4 O 2.11
O (0.0425, 0.2175, 0.1304)  2 Ho 2.11-2.27
O (0.0425, 0.3250, 0.9121)  2 Ho 2.11-2.27
O (0.0871, 0.7175, 0.6750)  2 Ho 2.11-2.27
O (0.0871, 0.8696, 0.4121)  2 Ho 2.11-2.27
O (0.0879, 0.6304, 0.4129)  2 Ho 2.11-2.27
O (0.0879, 0.9575, 0.6750)  2 Ho 2.11-2.27
O (0.1304, 0.0425, 0.2175)  2 Ho 2.11-2.27
O (0.1304, 0.5879, 0.9129)  2 Ho 2.11-2.27
O (0.1750, 0.2175, 0.5871)  2 Ho 2.11-2.27
O (0.1750, 0.4575, 0.5879)  2 Ho 2.11-2.27
O (0.2175, 0.1304, 0.0425)  2 Ho 2.11-2.27
O (0.2175, 0.5871, 0.1750)  2 Ho 2.11-2.27
O (0.2825, 0.3250, 0.9129)  2 Ho 2.11-2.27
O (0.2825, 0.4575, 0.3696)  2 Ho 2.11-2.27
O (0.3250, 0.9121, 0.0425)  2 Ho 2.11-2.27
O (0.3250, 0.9129, 0.2825)  2 Ho 2.11-2.27
O (0.3696, 0.2825, 0.4575)  2 Ho 2.11-2.27
O (0.3696, 0.5871, 0.9121)  2 Ho 2.11-2.27
O (0.4121, 0.0871, 0.8696)  2 Ho 2.11-2.27
O (0.4121, 0.8250, 0.5425)  2 Ho 2.11-2.27
O (0.4129, 0.0879, 0.6304)  2 Ho 2.11-2.27
O (0.4129, 0.8250, 0.7825)  2 Ho 2.11-2.27
O (0.4575, 0.3696, 0.2825)  2 Ho 2.11-2.27
O (0.4575, 0.5879, 0.1750)  2 Ho 2.11-2.27
O (0.5425, 0.4121, 0.8250)  2 Ho 2.11-2.27
O (0.5425, 0.6304, 0.7175)  2 Ho 2.11-2.27
O (0.5871, 0.1750, 0.2175)  2 Ho 2.11-2.27
O (0.5871, 0.9121, 0.3696)  2 Ho 2.11-2.27
O (0.5879, 0.1750, 0.4575)  2 Ho 2.11-2.27
O (0.5879, 0.9129, 0.1304)  2 Ho 2.11-2.27
O (0.6304, 0.4129, 0.0879)  2 Ho 2.11-2.27
O (0.6304, 0.7175, 0.5425)  2 Ho 2.11-2.27
O (0.6750, 0.0871, 0.7175)  2 Ho 2.11-2.27
O (0.6750, 0.0879, 0.9575)  2 Ho 2.11-2.27
O (0.7175, 0.5425, 0.6304)  2 Ho 2.11-2.27
O (0.7175, 0.6750, 0.0871)  2 Ho 2.11-2.27
O (0.7825, 0.4129, 0.8250)  2 Ho 2.11-2.27
O (0.7825, 0.8696, 0.9575)  2 Ho 2.11-2.27
O (0.8250, 0.5425, 0.4121)  2 Ho 2.11-2.27
O (0.8250, 0.7825, 0.4129)  2 Ho 2.11-2.27
O (0.8696, 0.4121, 0.0871)  2 Ho 2.11-2.27
O (0.8696, 0.9575, 0.7825)  2 Ho 2.11-2.27
O (0.9121, 0.0425, 0.3250)  2 Ho 2.11-2.27
O (0.9121, 0.3696, 0.5871)  2 Ho 2.11-2.27
O (0.9129, 0.1304, 0.5879)  2 Ho 2.11-2.27
O (0.9129, 0.2825, 0.3250)  2 Ho 2.11-2.27
O (0.9575, 0.6750, 0.0879)  2 Ho 2.11-2.27
O (0.9575, 0.7825, 0.8696)  2 Ho 2.11-2.27

The uncorrected formation energy comes out at -3367 meV/atom. The uncorrected energy is -655.54 eV per cell.

=====

> Which value of uncorrected energy does entry 1 give?

-27.09 eV per cell

=====

> The lowest uncorrected energy belongs to which entry?

Sm3Ho5O12